No. 1
This record from Alexandria via LeMat-Bulk describes crystalline LaCeSn2Rh5 at its relaxed geometry. The functional is PBE.

POSCAR file:
```
LaCeSn2Rh5
1.0
4.391 0.000 0.000
0.000 4.391 0.000
0.000 0.000 9.400
La Ce Sn Rh
1 1 2 5
Direct
0.000 0.000 0.000
0.000 0.000 0.500
0.500 0.500 0.351
0.500 0.500 0.649
0.000 0.500 0.212
0.000 0.500 0.788
0.500 0.000 0.212
0.500 0.000 0.788
0.500 0.500 0.000
```

Calculated values
M_tot = 0.4 μB/f.u.
D(E_F) = 11.27 states/eV/f.u.
ΔH_f (0 K) = -4.30 eV/f.u.
Crystal system = tetragonal

=====

No. 2
This record from Alexandria via LeMat-Bulk describes crystalline MnBe2CoH at its relaxed geometry. The functional is PBE.

POSCAR file:
```
MnBe2CoH
1.0
3.564 0.000 0.000
0.000 3.564 0.000
0.000 0.000 3.240
Mn Be Co H
1 2 1 1
Direct
0.000 0.000 0.000
0.000 0.500 0.500
0.500 0.000 0.500
0.500 0.500 0.000
0.500 0.500 0.500
```

Calculated values
M_tot = 3.3 μB/f.u.
ΔE to the lowest computed polymorph = 0.09 eV/f.u.
D(E_F) = 2.90 states/eV/f.u.
Crystal system = tetragonal

=====

No. 3
This record from Alexandria via LeMat-Bulk describes crystalline Sc4InPd2 at its relaxed geometry. The functional is PBE.

POSCAR file:
```
Sc4InPd2
1.0
2.250 1.299 9.206
-2.250 1.299 9.206
0.000 -2.598 9.206
Sc In Pd
4 1 2
Direct
0.113 0.113 0.113
0.299 0.299 0.299
0.701 0.701 0.701
0.887 0.887 0.887
0.500 0.500 0.500
0.399 0.399 0.399
0.601 0.601 0.601
```

Calculated values
M_tot = 0.0 μB/f.u.
D(E_F) = 7.87 states/eV/f.u.
ΔH_f (0 K) = -2.95 eV/f.u.
Crystal system = trigonal

=====

No. 4
This record from Alexandria via LeMat-Bulk describes crystalline AgP2O6 at its relaxed geometry. The functional is PBE.

POSCAR file:
```
AgP2O6
1.0
5.106 -4.608 0.000
5.106 4.608 0.000
-0.200 0.000 5.045
Ag P O
2 4 12
Direct
0.119 0.881 0.750
0.881 0.119 0.250
0.199 0.368 0.755
0.368 0.199 0.255
0.632 0.801 0.745
0.801 0.632 0.245
0.065 0.207 0.744
0.096 0.571 0.756
0.207 0.065 0.244
0.346 0.349 0.012
0.349 0.346 0.512
0.429 0.904 0.744
0.571 0.096 0.256
0.651 0.654 0.488
0.654 0.651 0.988
0.793 0.935 0.756
0.904 0.429 0.244
0.935 0.793 0.256
```

Calculated values
M_tot = 0.0 μB/f.u.
D(E_F) = 2.74 states/eV/f.u.
Crystal system = monoclinic
ΔE_f (raw) = -1622 meV/atom

=====

No. 5
This record from Alexandria via LeMat-Bulk describes crystalline GaP2H4 at its relaxed geometry. The functional is PBE.

POSCAR file:
```
GaP2H4
1.0
3.559 0.000 0.000
0.000 3.559 0.000
0.000 0.000 14.046
Ga P H
2 4 8
Direct
0.000 0.000 0.000
0.500 0.500 0.500
0.000 0.000 0.251
0.000 0.000 0.749
0.500 0.500 0.249
0.500 0.500 0.751
0.000 0.000 0.147
0.000 0.000 0.853
0.000 0.500 0.000
0.000 0.500 0.500
0.500 0.000 0.000
0.500 0.000 0.500
0.500 0.500 0.353
0.500 0.500 0.647
```

Calculated values
M_tot = 0.0 μB/f.u.
D(E_F) = 1.31 states/eV/f.u.
Crystal system = tetragonal
E = -3.661 eV per atom

=====

No. 6
This record from Alexandria via LeMat-Bulk describes crystalline Sn2GeCl at its relaxed geometry. The functional is PBE.

POSCAR file:
```
Sn2GeCl
1.0
6.714 0.000 0.000
0.000 6.714 0.000
0.000 0.000 12.878
Sn Ge Cl
8 4 4
Direct
0.222 0.250 0.125
0.250 0.722 0.375
0.250 0.778 0.875
0.278 0.250 0.625
0.722 0.750 0.625
0.750 0.222 0.875
0.750 0.278 0.375
0.778 0.750 0.125
0.000 0.000 0.000
0.000 0.500 0.250
0.500 0.000 0.750
0.500 0.500 0.500
0.000 0.000 0.500
0.000 0.500 0.750
0.500 0.000 0.250
0.500 0.500 0.000
```

Calculated values
M_tot = 0.0 μB/f.u.
ΔE to the lowest computed polymorph = 1.10 eV/f.u.
D(E_F) = 2.69 states/eV/f.u.
Crystal system = tetragonal
ΔE_f (raw) = 94 meV/atom